(1)
A plane-wave DFT calculation with PBE was carried out for a relaxed KGaAu3 crystal.

Computed properties:
polymorph energy (0 for the lowest one) = 0 meV/atom
formation enthalpy at 0 K = -0.27 eV per atom
M_tot = 0.000 μB/cell
E = -30.6 eV per cell
space-group type = Imma, No. 74

a b c (Å): 6.6424 7.1087 7.1087
angles (deg): 89.86 62.15 62.15
Fractional positions:
K: 0.0861 0.6639 0.1639
K: 0.9139 0.3361 0.8361
Ga: 0.5000 0.5000 0.5000
Ga: 0.5000 0.0000 0.0000
Au: 0.5000 0.8044 0.6956
Au: 0.0000 0.8044 0.6956
Au: 0.0000 0.1956 0.3044
Au: 0.5000 0.1956 0.3044
Au: 0.5851 0.1649 0.6649
Au: 0.4149 0.8351 0.3351



(2)
A plane-wave DFT calculation with PBE was carried out for a relaxed KGa12Au4 crystal.

Computed properties:
formation enthalpy at 0 K = -0.10 eV per atom
M_tot = 0.000 μB/cell
E = -52.2 eV per cell
space-group type = Im-3, No. 204

a b c (Å): 7.8684 7.8684 7.8684
angles (deg): 109.47 109.47 109.47
Fractional positions:
K: 0.0000 0.0000 0.0000
Ga: 0.8514 0.3558 0.2072
Ga: 0.3558 0.5044 0.1486
Ga: 0.7928 0.1486 0.6442
Ga: 0.3558 0.2072 0.8514
Ga: 0.2072 0.8514 0.3558
Ga: 0.6442 0.4956 0.8514
Ga: 0.5044 0.1486 0.3558
Ga: 0.4956 0.8514 0.6442
Ga: 0.6442 0.7928 0.1486
Ga: 0.8514 0.6442 0.4956
Ga: 0.1486 0.3558 0.5044
Ga: 0.1486 0.6442 0.7928
Au: 0.0000 0.5000 0.0000
Au: 0.5000 0.0000 0.0000
Au: 0.5000 0.5000 0.5000
Au: 0.0000 0.0000 0.5000